Computed, not measured: a relaxed MnOs crystal at the PBE level of DFT.

```
8
Lattice="4.593 0.000 0.000 0.000 4.173 0.000 0.000 0.000 5.273" Properties=species:S:1:pos:R:3 pbc="T T T"
Mn 0.370 1.043 0.650
Mn 1.926 3.129 3.287
Mn 2.667 1.043 1.986
Mn 4.223 3.129 4.623
Os 0.405 1.043 3.304
Os 1.891 3.129 0.667
Os 2.702 1.043 4.606
Os 4.187 3.129 1.969
```

Properties
- mass density (g cm⁻³) = 16.1
- ΔE_f (eV per formula unit) = -0.06